[1]
BaAgSe2: relaxed, PBE-GGA.

```
data_BaAgSe2
_chemical_formula_sum 'Ba3 Ag3 Se6'
_cell_length_a 4.3993
_cell_length_b 4.3993
_cell_length_c 20.6187
_cell_angle_alpha 90.00
_cell_angle_beta 90.00
_cell_angle_gamma 120.00
_symmetry_space_group_name_H-M 'R 3 m'
_symmetry_Int_Tables_number 160
_symmetry_space_group_name_Hall 'R 3 -2"'
loop_
_atom_site_label
_atom_site_type_symbol
_atom_site_fract_x
_atom_site_fract_y
_atom_site_fract_z
Ba1 Ba 0.0000 0.0000 0.0000
Ag1 Ag 0.0000 0.0000 0.1751
Se1 Se 0.0000 0.0000 0.5694
Se2 Se 0.0000 0.0000 0.7687
```



[2]
BaAgSe2: relaxed, PBE-GGA.

```
data_BaAgSe2
_chemical_formula_sum 'Ba3 Ag3 Se6'
_cell_length_a 5.1810
_cell_length_b 5.1810
_cell_length_c 22.7960
_cell_angle_alpha 90.00
_cell_angle_beta 90.00
_cell_angle_gamma 120.00
_symmetry_space_group_name_H-M 'R -3 m'
_symmetry_Int_Tables_number 166
_symmetry_space_group_name_Hall '-R 3 2"'
loop_
_atom_site_label
_atom_site_type_symbol
_atom_site_fract_x
_atom_site_fract_y
_atom_site_fract_z
Ba1 Ba 0.0000 0.0000 0.0000
Ag1 Ag 0.0000 0.0000 0.5000
Se1 Se 0.0000 0.0000 0.3931
```



[3]
BaAg2Se2: relaxed, PBE-GGA.

```
data_BaAg2Se2
_chemical_formula_sum 'Ba2 Ag4 Se4'
_cell_length_a 8.120
_cell_length_b 8.120
_cell_length_c 3.783
_cell_angle_alpha 90.00
_cell_angle_beta 90.00
_cell_angle_gamma 90.00
_symmetry_space_group_name_H-M 'P 4/m b m'
_symmetry_Int_Tables_number 127
_symmetry_space_group_name_Hall '-P 4 2ab'
loop_
_atom_site_label
_atom_site_type_symbol
_atom_site_fract_x
_atom_site_fract_y
_atom_site_fract_z
Ba1 Ba 0.000 0.000 0.000
Ag1 Ag 0.118 0.382 0.000
Se1 Se 0.196 0.696 0.500
```



[4]
BaAgSe2: relaxed, PBE-GGA.

```
data_BaAgSe2
_chemical_formula_sum 'Ba3 Ag3 Se6'
_cell_length_a 4.5476
_cell_length_b 4.5476
_cell_length_c 18.9414
_cell_angle_alpha 90.00
_cell_angle_beta 90.00
_cell_angle_gamma 120.00
_symmetry_space_group_name_H-M 'R -3 m'
_symmetry_Int_Tables_number 166
_symmetry_space_group_name_Hall '-R 3 2"'
loop_
_atom_site_label
_atom_site_type_symbol
_atom_site_fract_x
_atom_site_fract_y
_atom_site_fract_z
Ba1 Ba 0.0000 0.0000 0.0000
Ag1 Ag 0.0000 0.0000 0.5000
Se1 Se 0.0000 0.0000 0.2320
```



[5]
BaAgSe2: relaxed, PBE-GGA.

```
data_BaAgSe2
_chemical_formula_sum 'Ba1 Ag1 Se2'
_cell_length_a 4.108
_cell_length_b 4.486
_cell_length_c 6.624
_cell_angle_alpha 90.00
_cell_angle_beta 90.00
_cell_angle_gamma 90.00
_symmetry_space_group_name_H-M 'P m m m'
_symmetry_Int_Tables_number 47
loop_
_symmetry_equiv_pos_as_xyz
'x,y,z'
'-x,-y,-z'
'-x,-y,z'
'x,y,-z'
'x,-y,-z'
'-x,y,z'
'-x,y,-z'
'x,-y,z'
loop_
_atom_site_label
_atom_site_type_symbol
_atom_site_fract_x
_atom_site_fract_y
_atom_site_fract_z
Ba1 Ba 0.000 0.000 0.000
Ag1 Ag 0.000 0.500 0.500
Se1 Se 0.500 0.500 0.235
```



[6]
BaAgSe2: relaxed, PBE-GGA.

```
data_BaAgSe2
_chemical_formula_sum 'Ba3 Ag3 Se6'
_cell_length_a 4.1897
_cell_length_b 4.1897
_cell_length_c 26.4795
_cell_angle_alpha 90.00
_cell_angle_beta 90.00
_cell_angle_gamma 120.00
_symmetry_space_group_name_H-M 'R -3 m'
_symmetry_Int_Tables_number 166
_symmetry_space_group_name_Hall '-R 3 2"'
loop_
_atom_site_label
_atom_site_type_symbol
_atom_site_fract_x
_atom_site_fract_y
_atom_site_fract_z
Ba1 Ba 0.0000 0.0000 0.0000
Ag1 Ag 0.0000 0.0000 0.5000
Se1 Se 0.0000 0.0000 0.1172
```



Number 1: formation energy from raw total energies -0.790 eV per atom. Number 2: formation energy from raw total energies -0.758 eV per atom. Number 3: formation energy from raw total energies -0.570 eV per atom. Number 4: formation energy from raw total energies -0.844 eV per atom. Number 5: formation energy from raw total energies -0.965 eV per atom. Number 6: formation energy from raw total energies -0.146 eV per atom.